No. 1
Material: Sm2AgBr
Method: DFT, PBE-GGA
State: relaxed

Raw total energy = -4.10 eV/atom
Offset from the most stable computed form = 0 meV/atom
Mass density = 7.21 g cm⁻³
Fermi-level density of states = 0.727 states/eV per atom

a = 4.296 Å, b = 4.296 Å, c = 7.460 Å
α = 73.27°, β = 73.27°, γ = 60.00°
Element x y z (fractional)
1 Ag 0.000 0.000 0.000
2 Sm 0.253 0.253 0.240
3 Sm 0.747 0.747 0.760
4 Br 0.500 0.500 0.500

No. 2
Material: SmAg5Br8
Method: DFT, PBE-GGA
State: relaxed

Raw total energy = -3.06 eV/atom
Mass density = 4.94 g cm⁻³
Fermi-level density of states = 0.000 states/eV per atom

a = 8.352 Å, b = 8.352 Å, c = 8.349 Å
α = 109.41°, β = 112.73°, γ = 106.36°
Element x y z (fractional)
1 Br 0.121 0.918 0.797
2 Br 0.608 0.876 0.269
3 Br 0.607 0.339 0.731
4 Br 0.116 0.838 0.278
5 Br 0.146 0.425 0.721
6 Br 0.705 0.425 0.279
7 Br 0.121 0.324 0.203
8 Br 0.560 0.839 0.722
9 Ag 0.517 0.482 0.482
10 Ag 0.517 0.034 0.036
11 Ag 0.998 0.481 0.964
12 Ag 0.594 0.594 0.000
13 Ag 0.000 0.034 0.518
14 Sm 0.140 0.640 0.500

No. 3
Material: SmAg2Br6
Method: DFT, PBE-GGA
State: relaxed

Raw total energy = -3.17 eV/atom
Offset from the most stable computed form = 36 meV/atom
Mass density = 4.54 g cm⁻³
Fermi-level density of states = 0.206 states/eV per atom

a = 4.984 Å, b = 7.217 Å, c = 10.247 Å
α = 63.99°, β = 75.92°, γ = 69.80°
Element x y z (fractional)
1 Br 0.021 0.179 0.780
2 Br 0.703 0.673 0.922
3 Br 0.979 0.821 0.220
4 Br 0.363 0.698 0.576
5 Br 0.637 0.302 0.424
6 Br 0.297 0.327 0.078
7 Sm 0.000 0.500 0.500
8 Ag 0.194 0.750 0.861
9 Ag 0.806 0.250 0.139

No. 4
Material: SmAg2Br5
Method: DFT, PBE-GGA
State: relaxed

Raw total energy = -3.40 eV/atom
Mass density = 4.37 g cm⁻³
Fermi-level density of states = 0.000 states/eV per atom

a = 5.803 Å, b = 7.562 Å, c = 7.640 Å
α = 82.92°, β = 68.80°, γ = 68.65°
Element x y z (fractional)
1 Br 0.791 0.266 0.377
2 Br 0.030 0.364 0.812
3 Br 0.563 0.029 0.033
4 Br 0.109 0.695 0.261
5 Br 0.337 0.797 0.708
6 Ag 0.552 0.561 0.993
7 Ag 0.568 0.031 0.546
8 Sm 0.050 0.035 0.047